Record 1
Pa4CoSi3 | Alexandria via LeMat-Bulk | GGA-PBE | optimized geometry; total energy = -8.12 eV/atom; size of the total moment = 0.000 Bohr magnetons per cell; formation energy (no corrections) = -0.45 eV/atom; Fermi-level density of states = 12.75 states/eV/f.u.
1.0
3.853 0.000 0.000
0.000 4.089 0.000
0.000 0.000 10.375
Pa Co Si
4 1 3
direct
0.000 0.000 0.000
0.000 0.500 0.484
0.500 0.000 0.701
0.500 0.500 0.201
0.000 0.000 0.271
0.000 0.500 0.770
0.500 0.000 0.411
0.500 0.500 0.921

Record 2
Pa2CoSi | Alexandria via LeMat-Bulk | GGA-PBE | optimized geometry; total energy = -7.66 eV/atom; size of the total moment = 0.307 Bohr magnetons per cell; formation energy (no corrections) = 0.22 eV/atom; E above lowest polymorph = 0.7108 eV per atom; Fermi-level density of states = 5.42 states/eV/f.u.
1.0
1.543 0.891 9.592
-1.543 0.891 9.592
0.000 -1.782 9.592
Pa Co Si
2 1 1
direct
0.083 0.083 0.083
0.917 0.917 0.917
0.000 0.000 0.000
0.500 0.500 0.500

Record 3
PaCo3Si3 | Alexandria via LeMat-Bulk | GGA-PBE | optimized geometry; total energy = -7.08 eV/atom; size of the total moment = 0.001 Bohr magnetons per cell; formation energy (no corrections) = -0.35 eV/atom; Fermi-level density of states = 5.72 states/eV/f.u.
1.0
3.080 1.778 6.161
-3.080 1.778 6.161
0.000 -3.557 6.161
Pa Co Si
2 6 6
direct
0.159 0.159 0.159
0.841 0.841 0.841
0.177 0.404 0.678
0.322 0.823 0.596
0.404 0.678 0.177
0.596 0.322 0.823
0.678 0.177 0.404
0.823 0.596 0.322
0.039 0.245 0.597
0.245 0.597 0.039
0.403 0.961 0.755
0.597 0.039 0.245
0.755 0.403 0.961
0.961 0.755 0.403

Record 4
Pa3Co2Si4 | Alexandria via LeMat-Bulk | GGA-PBE | optimized geometry; total energy = -7.79 eV/atom; size of the total moment = 0.000 Bohr magnetons per cell; formation energy (no corrections) = -0.64 eV/atom; E above lowest polymorph = 0.0557 eV per atom; Fermi-level density of states = 8.73 states/eV/f.u.
1.0
5.223 -2.014 0.000
5.223 2.014 0.000
-2.321 0.000 7.514
Pa Co Si
3 2 4
direct
0.000 0.000 0.000
0.381 0.381 0.313
0.619 0.619 0.687
0.302 0.302 0.636
0.698 0.698 0.364
0.098 0.098 0.396
0.278 0.278 0.924
0.722 0.722 0.076
0.902 0.902 0.604

Record 5
PaCoSi2 | Alexandria via LeMat-Bulk | GGA-PBE | optimized geometry; total energy = -6.95 eV/atom; size of the total moment = 0.000 Bohr magnetons per cell; formation energy (no corrections) = -0.09 eV/atom; Fermi-level density of states = 3.41 states/eV/f.u.
1.0
1.497 0.864 8.308
-1.497 0.864 8.308
0.000 -1.729 8.308
Pa Co Si
1 1 2
direct
0.000 0.000 0.000
0.500 0.500 0.500
0.232 0.232 0.232
0.768 0.768 0.768

Record 6
PaCo4Si | Alexandria via LeMat-Bulk | GGA-PBE | optimized geometry; total energy = -7.13 eV/atom; size of the total moment = 8.941 Bohr magnetons per cell; formation energy (no corrections) = 0.10 eV/atom; Fermi-level density of states = 8.04 states/eV/f.u.
1.0
-2.242 2.242 9.260
2.242 -2.242 9.260
2.242 2.242 -9.260
Pa Co Si
2 8 2
direct
0.375 0.625 0.750
0.625 0.375 0.250
0.228 0.232 0.504
0.228 0.724 0.996
0.232 0.228 0.004
0.276 0.772 0.504
0.724 0.228 0.496
0.768 0.772 0.996
0.772 0.276 0.004
0.772 0.768 0.496
0.125 0.875 0.250
0.875 0.125 0.750